[1]
Tl2ReF6 | PBE-GGA | optimized geometry

Unit cell a=5.8992 b=5.8992 c=4.6498 alpha=90.01 beta=90.01 gamma=59.99
Last column: nearest neighbours and their distance in Å.
Sites, in units of the cell vectors:
1 F 0.8371 0.8371 0.2290  1 Re 1.98
2 F 0.8370 0.3258 0.2293  1 Re 1.98
3 F 0.3258 0.8370 0.2293  1 Re 1.98
4 F 0.6742 0.1630 0.7707  1 Re 1.98
5 F 0.1630 0.6742 0.7707  1 Re 1.98
6 F 0.1629 0.1629 0.7710  1 Re 1.98
7 Re 0.0000 0.0000 0.0000  6 F 1.98
8 Tl 0.3334 0.3334 0.2974  12 F 2.81-3.01
9 Tl 0.6666 0.6666 0.7026  12 F 2.81-3.01

Properties
Offset from the most stable computed form = 0 meV/atom
Symmetry = No. 164
VASP energy = -46.11 eV/cell



[2]
ZnReF6 | PBE-GGA | optimized geometry

Unit cell a=5.3653 b=5.3653 c=5.3653 alpha=53.06 beta=53.06 gamma=53.06
Last column: nearest neighbours and their distance in Å.
Sites, in units of the cell vectors:
1 F 0.4289 0.7460 0.0766  1 Re 1.97, 1 Zn 2.00
2 F 0.9234 0.5711 0.2540  1 Re 1.97, 1 Zn 2.00
3 F 0.7460 0.0766 0.4289  1 Re 1.97, 1 Zn 2.00
4 F 0.2540 0.9234 0.5711  1 Re 1.97, 1 Zn 2.00
5 F 0.0766 0.4289 0.7460  1 Re 1.97, 1 Zn 2.00
6 F 0.5711 0.2540 0.9234  1 Re 1.97, 1 Zn 2.00
7 Re 0.5000 0.5000 0.5000  6 F 1.97
8 Zn 0.0000 0.0000 0.0000  6 F 2.00

Properties
Symmetry = No. 148
VASP energy = -41.35 eV/cell



[3]
SmS2F2 | PBE-GGA | optimized geometry

Unit cell a=5.3392 b=6.4511 c=7.1948 alpha=63.49 beta=80.59 gamma=66.77
Last column: nearest neighbours and their distance in Å.
Sites, in units of the cell vectors:
1 F 0.7398 0.5781 0.4626  2 Sm 2.22-2.28
2 F 0.2605 0.9549 0.4698  2 Sm 2.22-2.28
3 F 0.7395 0.0451 0.5302  2 Sm 2.22-2.28
4 F 0.2602 0.4219 0.5374  2 Sm 2.22-2.28
5 S 0.9317 0.2856 0.0002  1 S 1.99
6 S 0.3493 0.8432 0.0052  1 S 1.99
7 S 0.6507 0.1569 0.9948  1 S 1.99
8 S 0.0683 0.7144 0.9998  1 S 1.99
9 Sm 0.0000 0.8171 0.3654  4 F 2.22-2.28
10 Sm 0.0000 0.1829 0.6346  4 F 2.22-2.28

Properties
Symmetry = No. 2
VASP energy = -57.12 eV/cell



[4]
SmSF | PBE-GGA | optimized geometry

Unit cell a=8.7811 b=8.7811 c=8.7811 alpha=27.14 beta=27.14 gamma=27.14
Last column: nearest neighbours and their distance in Å.
Sites, in units of the cell vectors:
1 F 0.1674 0.1674 0.1674  3 Sm 2.38, 3 F 2.38
2 F 0.8326 0.8326 0.8326  3 Sm 2.38, 3 F 2.38
3 S 0.3906 0.3906 0.3906  4 Sm 2.77-2.79
4 S 0.6094 0.6094 0.6094  4 Sm 2.77-2.79
5 Sm 0.0000 0.0000 0.0000  6 S 2.79
6 Sm 0.5000 0.5000 0.5000  6 F 2.38

Properties
Symmetry = No. 166
VASP energy = -39.11 eV/cell



[5]
TbSmS2F2 | PBE-GGA | optimized geometry

Unit cell a=3.8003 b=3.8003 c=6.8286 alpha=90.00 beta=90.00 gamma=90.00
Last column: nearest neighbours and their distance in Å.
Sites, in units of the cell vectors:
1 F 0.5000 0.0000 0.9971  2 Tb 2.45, 2 Sm 2.47, 4 F 2.69
2 F 0.0000 0.5000 0.9971  2 Tb 2.45, 2 Sm 2.47, 4 F 2.69
3 S 0.5000 0.5000 0.3600  1 Tb 2.80, 4 Sm 2.83, 4 F 3.12
4 S 0.0000 0.0000 0.6465  4 Tb 2.82, 1 Sm 2.85, 4 F 3.06
5 Sm 0.0000 0.0000 0.2286  4 F 2.47
6 Tb 0.5000 0.5000 0.7707  4 F 2.45

Properties
Symmetry = No. 99
VASP energy = -39.37 eV/cell



[6]
SmYS2F2 | PBE-GGA | optimized geometry

Unit cell a=3.7926 b=3.7926 c=6.8290 alpha=90.00 beta=90.00 gamma=90.00
Last column: nearest neighbours and their distance in Å.
Sites, in units of the cell vectors:
1 F 0.5000 0.0000 0.0025  2 Y 2.45, 2 Sm 2.46, 4 F 2.68
2 F 0.0000 0.5000 0.0025  2 Y 2.45, 2 Sm 2.46, 4 F 2.68
3 S 0.5000 0.5000 0.3534  4 Y 2.81, 1 Sm 2.86, 4 F 3.06
4 S 0.0000 0.0000 0.6394  1 Y 2.79, 4 Sm 2.83, 4 F 3.12
5 Sm 0.5000 0.5000 0.7719  4 F 2.46
6 Y 0.0000 0.0000 0.2303  4 F 2.45

Properties
Symmetry = No. 99
VASP energy = -41.12 eV/cell



[7]
TaSF | PBE-GGA | optimized geometry

Unit cell a=10.6235 b=10.6235 c=10.6235 alpha=164.14 beta=164.14 gamma=22.50
Last column: nearest neighbours and their distance in Å.
Sites, in units of the cell vectors:
1 F 0.2092 0.2092 0.0000  4 Ta 2.46, 4 F 2.68, 1 S 2.72
2 F 0.7908 0.7908 0.0000  4 Ta 2.46, 4 F 2.68, 1 S 2.72
3 S 0.0789 0.0789 0.0000  4 Ta 2.50, 1 F 2.72
4 S 0.9211 0.9211 0.0000  4 Ta 2.50, 1 F 2.72
5 Ta 0.3543 0.3543 0.0000  4 F 2.46, 4 S 2.50
6 Ta 0.6457 0.6457 0.0000  4 F 2.46, 4 S 2.50

Properties
Symmetry = No. 139
VASP energy = -43.02 eV/cell



[8]
TbSF | PBE-GGA | optimized geometry

Unit cell a=8.6468 b=8.6468 c=8.6468 alpha=27.03 beta=27.03 gamma=27.03
Last column: nearest neighbours and their distance in Å.
Sites, in units of the cell vectors:
1 F 0.1674 0.1674 0.1674  3 Tb 2.33, 3 F 2.33
2 F 0.8326 0.8326 0.8326  3 Tb 2.33, 3 F 2.33
3 S 0.3907 0.3907 0.3907  4 Tb 2.73-2.74
4 S 0.6093 0.6093 0.6093  4 Tb 2.73-2.74
5 Tb 0.0000 0.0000 0.0000  6 S 2.74
6 Tb 0.5000 0.5000 0.5000  6 F 2.33

Properties
Symmetry = No. 166
VASP energy = -39.10 eV/cell



[9]
TcS3F | PBE-GGA | optimized geometry

Unit cell a=5.9202 b=6.2852 c=9.8204 alpha=103.02 beta=90.01 gamma=90.01
Last column: nearest neighbours and their distance in Å.
Sites, in units of the cell vectors:
1 F 0.8618 0.6415 0.0753  2 Tc 2.15-2.16
2 F 0.3618 0.3585 0.4247  2 Tc 2.15-2.16
3 F 0.6382 0.6415 0.5753  2 Tc 2.15-2.16
4 F 0.1382 0.3585 0.9247  2 Tc 2.15-2.16
5 S 0.2881 0.8248 0.0182  1 S 2.07, 1 Tc 2.31
6 S 0.3578 0.5472 0.1658  1 Tc 2.18
7 S 0.1603 0.0589 0.1824  1 S 2.07, 1 Tc 2.24
8 S 0.6603 0.9411 0.3176  1 S 2.07, 1 Tc 2.24
9 S 0.8578 0.4528 0.3342  1 Tc 2.18
10 S 0.7881 0.1752 0.4818  1 S 2.07, 1 Tc 2.31
11 S 0.2119 0.8248 0.5182  1 S 2.07, 1 Tc 2.31
12 S 0.1422 0.5472 0.6658  1 Tc 2.18
13 S 0.3397 0.0589 0.6824  1 S 2.07, 1 Tc 2.24
14 S 0.8397 0.9411 0.8176  1 S 2.07, 1 Tc 2.24
15 S 0.6422 0.4528 0.8342  1 Tc 2.18
16 S 0.7119 0.1752 0.9818  1 S 2.07, 1 Tc 2.31
17 Tc 0.9981 0.3488 0.1250  2 F 2.15-2.16, 3 S 2.18-2.31
18 Tc 0.4981 0.6511 0.3750  2 F 2.15-2.16, 3 S 2.18-2.31
19 Tc 0.5019 0.3489 0.6250  2 F 2.15-2.16, 3 S 2.18-2.31
20 Tc 0.0019 0.6512 0.8750  2 F 2.15-2.16, 3 S 2.18-2.31

Properties
Symmetry = No. 14
VASP energy = -109.04 eV/cell



[10]
TlZnSF | PBE-GGA | optimized geometry

Unit cell a=3.6474 b=3.6474 c=12.7965 alpha=90.00 beta=90.00 gamma=90.00
Last column: nearest neighbours and their distance in Å.
Sites, in units of the cell vectors:
1 F 0.0000 0.0000 0.0000  4 Tl 2.45, 4 F 2.58
2 F 0.5000 0.5000 0.0000  4 Tl 2.45, 4 F 2.58
3 S 0.0000 0.5000 0.3947  5 Zn 2.38-2.60
4 S 0.5000 0.0000 0.6053  5 Zn 2.38-2.60
5 Tl 0.0000 0.5000 0.1277  4 F 2.45
6 Tl 0.5000 0.0000 0.8723  4 F 2.45
7 Zn 0.5000 0.0000 0.4195  5 S 2.38-2.60
8 Zn 0.0000 0.5000 0.5805  5 S 2.38-2.60

Properties
Offset from the most stable computed form = 196 meV/atom
Symmetry = No. 129
VASP energy = -27.08 eV/cell